[1]
Pr3TlSe4 | PBE | relaxed

Cell: 6.1080 6.1080 6.1080 Å, 90.00 90.00 90.00°
Space group Pm-3m (No. 221)
Asymmetric unit:
Pr 0.0000 0.0000 0.5000 [3 per cell]
Tl 0.5000 0.5000 0.5000 [1 per cell]
Se 0.0000 0.0000 0.0000 [1 per cell]
Se 0.0000 0.5000 0.5000 [3 per cell]



[2]
Pr5TlSe6 | PBE | relaxed

Cell: 7.4591 12.9000 7.5144 Å, 90.00 109.39 90.00°
Space group C2/m (No. 12)
Asymmetric unit:
Pr 0.0000 0.0000 0.0000 [2 per cell]
Pr 0.0000 0.1664 0.5000 [4 per cell]
Pr 0.0000 0.3412 0.0000 [4 per cell]
Tl 0.0000 0.5000 0.5000 [2 per cell]
Se 0.2412 0.0000 0.7481 [4 per cell]
Se 0.2424 0.1715 0.2415 [8 per cell]



[3]
Pr2TlSe3 | PBE | relaxed

Cell: 4.2819 4.2819 22.8707 Å, 90.00 90.00 120.00°
Space group P6_3/mmc (No. 194)
Asymmetric unit:
Pr 0.3333 0.6667 0.0775 [4 per cell]
Tl 0.0000 0.0000 0.2500 [2 per cell]
Se 0.0000 0.0000 0.0000 [2 per cell]
Se 0.3333 0.6667 0.6510 [4 per cell]



[4]
PrTlSe | PBE | relaxed

Cell: 4.9372 4.9372 28.3872 Å, 90.00 90.00 120.00°
Space group R-3m (No. 166, hexagonal axes)
Asymmetric unit:
Pr 0.0000 0.0000 0.2302 [6 per cell]
Tl 0.0000 0.0000 0.3552 [6 per cell]
Se 0.0000 0.0000 0.1232 [6 per cell]



| no. | energy (eV for the cell shown) | density (Mg/m³) | total magnetic moment (μB per atom) |
| --- | --- | --- | --- |
| 1 | -43.1 | 6.87 | 0.0000 |
| 2 | -134.0 | 6.73 | 0.0000 |
| 3 | -63.0 | 6.61 | 0.0000 |
| 4 | -81.8 | 7.05 | 0.0000 |